(1)
Entry from Alexandria via LeMat-Bulk: a crystal of Si2MoPb relaxed with PBEsol (meta-GGA SCAN).

Results
- V (Å³/atom) = 17.00
- total DFT energy (no corrections) (eV per atom) = -31.80

POSCAR file:
```
Si2MoPb
1.0
-0.343 -3.394 2.322
2.546 1.654 2.794
-4.227 2.481 -0.664
Mo Pb Si
1 1 2
Cartesian
1.102 -0.870 2.558 Mo
0.000 0.000 0.000 Pb
-1.734 -0.891 2.108 Si
-0.289 1.633 2.344 Si
```

***

(2)
Entry from Alexandria via LeMat-Bulk: a crystal of Si2MoPb relaxed with PBEsol (meta-GGA SCAN).

Results
- V (Å³/atom) = 17.16
- total DFT energy (no corrections) (eV per atom) = -31.88

POSCAR file:
```
Si2MoPb
1.0
-0.812 -0.190 3.244
1.959 -4.171 0.244
3.342 3.017 1.011
Mo Pb Si
1 1 2
Cartesian
2.245 -0.672 2.249 Mo
-0.406 -0.095 1.622 Pb
0.980 -2.086 0.122 Si
1.671 1.509 0.506 Si
```

***

(3)
Entry from Alexandria via LeMat-Bulk: a crystal of SrMoPb2 relaxed with PBEsol (meta-GGA SCAN).

Results
- formation energy (eV per atom) = 0.370
- V (Å³/atom) = 26.97
- total DFT energy (no corrections) (eV per atom) = -51.81
- excess energy over the best structure of this formula in the dataset (meV per atom) = 221

POSCAR file:
```
SrMoPb2
1.0
-0.736 -3.463 0.143
0.816 -0.396 -5.390
5.426 -0.913 0.888
Mo Pb Sr
1 2 1
Cartesian
4.701 -1.169 -1.974 Mo
4.366 -4.275 0.974 Pb
1.360 -3.804 -2.287 Pb
2.115 -2.090 0.473 Sr
```

***

(4)
Entry from Alexandria via LeMat-Bulk: a crystal of SrMoPb relaxed with PBEsol (meta-GGA SCAN).

Results
- formation energy (eV per atom) = 0.487
- V (Å³/atom) = 26.02
- total DFT energy (no corrections) (eV per atom) = -43.83

POSCAR file:
```
SrMoPb
1.0
-0.008 3.639 0.714
-3.584 -0.190 0.931
3.250 -2.778 4.562
Mo Pb Sr
1 1 1
Cartesian
-0.464 0.759 5.752 Mo
1.099 -0.796 4.067 Pb
-1.317 1.377 2.596 Sr
```